[1]
This record from Alexandria describes crystalline Tl2CrCd at its relaxed geometry. The functional is PBE.

a b c (Å): 10.056 10.056 10.056
angles (deg): 19.44 19.44 19.44
Element x y z (fractional)
Tl 0.000 0.000 0.000
Tl 0.239 0.239 0.239
Cr 0.742 0.742 0.742
Cd 0.482 0.482 0.482

Results
E in eV for the cell shown: -13.701
Energy above the most stable polymorph in this dataset in eV per formula unit: 0.173
Theoretical density in Mg/m³: 9.665

[2]
This record from Alexandria describes crystalline Tl2CrCd at its relaxed geometry. The functional is PBE.

a b c (Å): 5.744 5.744 5.744
angles (deg): 134.00 134.00 67.09
Element x y z (fractional)
Tl 0.000 0.000 0.000
Tl 0.750 0.250 0.500
Cr 0.500 0.500 0.000
Cd 0.250 0.750 0.500

Results
E in eV for the cell shown: -13.602
Energy above the most stable polymorph in this dataset in eV per formula unit: 0.271
Theoretical density in Mg/m³: 9.867

[3]
This record from Alexandria describes crystalline TlCr3Cd at its relaxed geometry. The functional is PBE.

a b c (Å): 5.200 5.200 5.200
angles (deg): 90.00 90.00 90.00
Element x y z (fractional)
Tl 0.000 0.000 0.000
Cr 0.000 0.500 0.500
Cr 0.500 0.000 0.500
Cr 0.500 0.500 0.000
Cd 0.500 0.500 0.500

Results
E in eV for the cell shown: -25.025
Energy above the most stable polymorph in this dataset in eV per formula unit: 0.000
Theoretical density in Mg/m³: 5.585

[4]
This record from Alexandria describes crystalline Tl2CrCd at its relaxed geometry. The functional is PBE.

a b c (Å): 5.345 3.430 5.669
angles (deg): 90.00 111.74 90.00
Element x y z (fractional)
Tl 0.000 0.000 0.000
Tl 0.000 0.500 0.500
Cr 0.500 0.000 0.500
Cd 0.500 0.500 0.000

Results
E in eV for the cell shown: -13.541
Energy above the most stable polymorph in this dataset in eV per formula unit: 0.332
Theoretical density in Mg/m³: 9.860

Which formula does entry 2 have?
Tl2CrCd

What did the first record say?
This record from Alexandria describes crystalline Tl2CrCd at its relaxed geometry. The functional is PBE.

a b c (Å): 10.056 10.056 10.056
angles (deg): 19.44 19.44 19.44
Element x y z (fractional)
Tl 0.000 0.000 0.000
Tl 0.239 0.239 0.239
Cr 0.742 0.742 0.742
Cd 0.482 0.482 0.482

Results
E in eV for the cell shown: -13.701
Energy above the most stable polymorph in this dataset in eV per formula unit: 0.173
Theoretical density in Mg/m³: 9.665

Among the records above, which one has the highest E?
number 4

Which value of E does entry 4 give?
-13.541 eV for the cell shown